(1)
A plane-wave DFT calculation with PBE was carried out for a geometry-optimized Hf4CoTc structure.

Output
As for the crystal system: tetragonal. The energy above the most stable polymorph in this dataset is 0 meV/atom. As for the formation energy: -0.263 eV per atom.

Lattice parameters (Å, degrees): 3.2606 3.2606 10.3329 90.00 90.00 90.00
Space group P4/mmm (No. 123)
Symmetry-distinct sites (fractional):
Hf (0.0000, 0.0000, 0.1467) [2 per cell]
Hf (0.5000, 0.5000, 0.3468) [2 per cell]
Co (0.5000, 0.5000, 0.0000) [1 per cell]
Tc (0.0000, 0.0000, 0.5000) [1 per cell]

(2)
A plane-wave DFT calculation with PBE was carried out for a geometry-optimized MnSb2AsBr structure.

Output
As for the crystal system: tetragonal. The calculation puts the raw formation energy at 200 meV per atom.

Lattice parameters (Å, degrees): 5.1660 5.1660 4.5134 90.00 90.00 90.00
Space group P4/mmm (No. 123)
Symmetry-distinct sites (fractional):
Mn (0.0000, 0.0000, 0.0000) [1 per cell]
Sb (0.0000, 0.5000, 0.0000) [2 per cell]
As (0.0000, 0.0000, 0.5000) [1 per cell]
Br (0.5000, 0.5000, 0.5000) [1 per cell]

(3)
A plane-wave DFT calculation with PBE was carried out for a geometry-optimized Pm5Nd2Er5 structure.

Output
As for the crystal system: monoclinic. As for the formation energy: 0.018 eV per atom.

Lattice parameters (Å, degrees): 15.2566 5.0764 11.3785 90.00 116.56 90.00
Space group C2/m (No. 12)
Symmetry-distinct sites (fractional):
Pm (0.0000, 0.0000, 0.0000) [2 per cell]
Pm (0.0856, 0.0000, 0.7511) [4 per cell]
Pm (0.1656, 0.0000, 0.4992) [4 per cell]
Nd (0.0829, 0.5000, 0.2480) [4 per cell]
Er (0.0000, 0.5000, 0.5000) [2 per cell]
Er (0.1690, 0.5000, 0.0012) [4 per cell]
Er (0.2503, 0.0000, 0.2487) [4 per cell]

(4)
A plane-wave DFT calculation with PBE was carried out for a geometry-optimized Ca5Sb structure.

Output
As for the crystal system: monoclinic. The energy above the most stable polymorph in this dataset is 15 meV/atom. The calculation puts the raw formation energy at -324 meV per atom.

Lattice parameters (Å, degrees): 13.4330 4.3369 7.8844 90.00 108.68 90.00
Space group C2/m (No. 12)
Symmetry-distinct sites (fractional):
Ca (0.0000, 0.0000, 0.0000) [2 per cell]
Ca (0.1416, 0.5000, 0.3532) [4 per cell]
Ca (0.1574, 0.5000, 0.8030) [4 per cell]
Sb (0.0000, 0.0000, 0.5000) [2 per cell]

(5)
A plane-wave DFT calculation with PBE was carried out for a geometry-optimized Er2PaAu structure.

Output
As for the crystal system: tetragonal. As for the formation energy: -0.307 eV per atom.

Lattice parameters (Å, degrees): 3.4961 3.4961 8.1687 90.00 90.00 90.00
Space group P4/mmm (No. 123)
Symmetry-distinct sites (fractional):
Er (0.0000, 0.0000, 0.2213) [2 per cell]
Pa (0.5000, 0.5000, 0.5000) [1 per cell]
Au (0.5000, 0.5000, 0.0000) [1 per cell]

(6)
A plane-wave DFT calculation with PBE was carried out for a geometry-optimized BeHg2Ir2 structure.

Output
As for the crystal system: tetragonal. As for the formation energy: 0.198 eV per atom.

Lattice parameters (Å, degrees): 6.0633 6.0633 4.5752 90.00 90.00 90.00
Space group P4/mbm (No. 127)
Symmetry-distinct sites (fractional):
Be (0.0000, 0.0000, 0.0000) [2 per cell]
Hg (0.1732, 0.3268, 0.5000) [4 per cell]
Ir (0.1482, 0.6482, 0.0000) [4 per cell]

(7)
A plane-wave DFT calculation with PBE was carried out for a geometry-optimized AcLa3Bi3 structure.

Output
As for the crystal system: hexagonal. The energy above the most stable polymorph in this dataset is 203 meV/atom. As for the formation energy: -0.689 eV per atom.

Lattice parameters (Å, degrees): 9.7568 9.7568 6.1067 90.00 90.00 120.00
Space group P6_3/m (No. 176)
Symmetry-distinct sites (fractional):
Ac (0.3333, 0.6667, 0.2500) [2 per cell]
La (0.0129, 0.2531, 0.2500) [6 per cell]
Bi (0.0610, 0.4284, 0.7500) [6 per cell]

(8)
A plane-wave DFT calculation with PBE was carried out for a geometry-optimized CaAcBeP2 structure.

Output
As for the crystal system: monoclinic. As for the formation energy: -0.823 eV per atom.

Lattice parameters (Å, degrees): 6.9943 4.6908 7.8788 90.00 107.15 90.00
Space group P2/c (No. 13)
Symmetry-distinct sites (fractional):
Ca (0.0000, 0.0718, 0.2500) [2 per cell]
Ac (0.5000, 0.2587, 0.7500) [2 per cell]
Be (0.0000, 0.5000, 0.0000) [2 per cell]
P (0.2480, 0.2654, 0.0229) [4 per cell]

(9)
A plane-wave DFT calculation with PBE was carried out for a geometry-optimized Ce2Re3W structure.

Output
As for the crystal system: monoclinic. As for the formation energy: 0.000 eV per atom.

Lattice parameters (Å, degrees): 9.0939 5.9082 5.3434 90.00 125.72 90.00
Space group C2/m (No. 12)
Symmetry-distinct sites (fractional):
Ce (0.1150, 0.0000, 0.3663) [4 per cell]
Re (0.0000, 0.5000, 0.5000) [2 per cell]
Re (0.2500, 0.2500, 0.0000) [4 per cell]
W (0.0000, 0.5000, 0.0000) [2 per cell]

(10)
A plane-wave DFT calculation with PBE was carried out for a geometry-optimized Tb6PmEr4 structure.

Output
As for the crystal system: tetragonal. The energy above the most stable polymorph in this dataset is 296 meV/atom. As for the formation energy: 0.420 eV per atom.

Lattice parameters (Å, degrees): 7.5040 7.5040 13.3327 90.00 90.00 90.00
Space group I-42m (No. 121)
Symmetry-distinct sites (fractional):
Tb (0.0000, 0.5000, 0.0000) [4 per cell]
Tb (0.2352, 0.2352, 0.1866) [8 per cell]
Pm (0.0000, 0.0000, 0.0000) [2 per cell]
Er (0.1620, 0.1620, 0.4202) [8 per cell]

(11)
A plane-wave DFT calculation with PBE was carried out for a geometry-optimized Rb3GaO structure.

Output
As for the crystal system: cubic. The energy above the most stable polymorph in this dataset is 0 meV/atom. The calculation puts the raw formation energy at -313 meV per atom.

Lattice parameters (Å, degrees): 5.7330 5.7330 5.7330 90.00 90.00 90.00
Space group Pm-3m (No. 221)
Symmetry-distinct sites (fractional):
Rb (0.0000, 0.0000, 0.5000) [3 per cell]
Ga (0.5000, 0.5000, 0.5000) [1 per cell]
O (0.0000, 0.0000, 0.0000) [1 per cell]

(12)
A plane-wave DFT calculation with PBE was carried out for a geometry-optimized Li2FeAs structure.

Output
As for the crystal system: orthorhombic. As for the formation energy: -0.053 eV per atom.

Lattice parameters (Å, degrees): 4.8727 8.3976 2.7754 90.00 90.00 90.00
Space group Cmmm (No. 65)
Symmetry-distinct sites (fractional):
Li (0.2500, 0.2500, 0.0000) [4 per cell]
Fe (0.0000, 0.0000, 0.5000) [2 per cell]
As (0.0000, 0.5000, 0.5000) [2 per cell]

(13)
A plane-wave DFT calculation with PBE was carried out for a geometry-optimized BaTc2P2 structure.

Output
As for the crystal system: orthorhombic. The energy above the most stable polymorph in this dataset is 0 meV/atom. As for the formation energy: -0.789 eV per atom.

Lattice parameters (Å, degrees): 6.7919 10.2685 11.6521 90.00 90.00 90.00
Space group Fddd (No. 70, origin choice 2)
Symmetry-distinct sites (fractional):
Ba (0.1250, 0.1250, 0.1250) [8 per cell]
Tc (0.1250, 0.1250, 0.4974) [16 per cell]
P (0.1250, 0.3026, 0.6250) [16 per cell]

(14)
A plane-wave DFT calculation with PBE was carried out for a geometry-optimized KVCo2Rh structure.

Output
As for the crystal system: tetragonal. As for the formation energy: 0.941 eV per atom.

Lattice parameters (Å, degrees): 4.4509 4.4509 4.6214 90.00 90.00 90.00
Space group P4/mmm (No. 123)
Symmetry-distinct sites (fractional):
K (0.0000, 0.0000, 0.0000) [1 per cell]
V (0.5000, 0.5000, 0.5000) [1 per cell]
Co (0.0000, 0.5000, 0.5000) [2 per cell]
Rh (0.5000, 0.5000, 0.0000) [1 per cell]

(15)
A plane-wave DFT calculation with PBE was carried out for a geometry-optimized Ac12InGa7 structure.

Output
As for the crystal system: trigonal. As for the formation energy: -0.258 eV per atom.

Lattice parameters (Å, degrees): 15.8851 15.8851 9.8799 90.00 90.00 120.00
Space group R-3 (No. 148, hexagonal axes)
Symmetry-distinct sites (fractional):
Ac (0.0352, 0.5943, 0.3019) [18 per cell]
Ac (0.0441, 0.8711, 0.2649) [18 per cell]
In (0.0000, 0.0000, 0.0000) [3 per cell]
Ga (0.0000, 0.0000, 0.5000) [3 per cell]
Ga (0.0528, 0.8549, 0.9295) [18 per cell]

(16)
A plane-wave DFT calculation with PBE was carried out for a geometry-optimized Pm2Ga6AgAu structure.

Output
As for the crystal system: trigonal. As for the formation energy: -0.265 eV per atom.

Lattice parameters (Å, degrees): 6.1223 6.1223 41.6920 90.00 90.00 120.00
Space group R-3m (No. 166, hexagonal axes)
Symmetry-distinct sites (fractional):
Pm (0.0000, 0.0000, 0.1154) [6 per cell]
Pm (0.0000, 0.0000, 0.3134) [6 per cell]
Ga (0.0139, 0.5069, 0.2870) [18 per cell]
Ga (0.0624, 0.5312, 0.8691) [18 per cell]
Ag (0.0000, 0.0000, 0.0000) [3 per cell]
Ag (0.0000, 0.0000, 0.5000) [3 per cell]
Au (0.0000, 0.0000, 0.4284) [6 per cell]

(17)
A plane-wave DFT calculation with PBE was carried out for a geometry-optimized Y2ErIr structure.

Output
As for the crystal system: trigonal. The energy above the most stable polymorph in this dataset is 503 meV/atom. As for the formation energy: -0.076 eV per atom.

Lattice parameters (Å, degrees): 3.7102 3.7102 31.4324 90.00 90.00 120.00
Space group R-3m (No. 166, hexagonal axes)
Symmetry-distinct sites (fractional):
Y (0.0000, 0.0000, 0.1118) [6 per cell]
Er (0.0000, 0.0000, 0.0000) [3 per cell]
Ir (0.0000, 0.0000, 0.5000) [3 per cell]

(18)
A plane-wave DFT calculation with PBE was carried out for a geometry-optimized KC2 structure.

Output
As for the crystal system: hexagonal. The energy above the most stable polymorph in this dataset is 687 meV/atom. As for the formation energy: 1.191 eV per atom.

Lattice parameters (Å, degrees): 4.7514 4.7514 7.2098 90.00 90.00 120.00
Space group P6_3/mmc (No. 194)
Symmetry-distinct sites (fractional):
K (0.3333, 0.6667, 0.2500) [2 per cell]
C (0.0000, 0.0000, 0.0883) [4 per cell]

(19)
A plane-wave DFT calculation with PBE was carried out for a geometry-optimized ZrGa2Au structure.

Output
As for the crystal system: cubic. As for the formation energy: -0.235 eV per atom.

Lattice parameters (Å, degrees): 6.6086 6.6086 6.6086 90.00 90.00 90.00
Space group Fm-3m (No. 225)
Symmetry-distinct sites (fractional):
Zr (0.0000, 0.0000, 0.0000) [4 per cell]
Ga (0.2500, 0.2500, 0.2500) [8 per cell]
Au (0.0000, 0.0000, 0.5000) [4 per cell]

(20)
A plane-wave DFT calculation with PBE was carried out for a geometry-optimized BeSi2Pb structure.

Output
As for the crystal system: orthorhombic. The energy above the most stable polymorph in this dataset is 282 meV/atom. The calculation puts the raw formation energy at 645 meV per atom.

Lattice parameters (Å, degrees): 3.7057 5.7779 7.4295 90.00 90.00 90.00
Space group Imm2 (No. 44)
Symmetry-distinct sites (fractional):
Be (0.0000, 0.0000, 0.0000) [2 per cell]
Si (0.0000, 0.0000, 0.3747) [2 per cell]
Si (0.0000, 0.5000, 0.6620) [2 per cell]
Pb (0.0000, 0.5000, 0.2149) [2 per cell]

(21)
A plane-wave DFT calculation with PBE was carried out for a geometry-optimized Ac9La4In11 structure.

Output
As for the crystal system: orthorhombic. As for the formation energy: -0.375 eV per atom.

Lattice parameters (Å, degrees): 17.5628 23.9802 3.8677 90.00 90.00 90.00
Space group Cmmm (No. 65)
Symmetry-distinct sites (fractional):
Ac (0.0000, 0.0000, 0.0000) [2 per cell]
Ac (0.1130, 0.2295, 0.0000) [8 per cell]
Ac (0.1172, 0.4091, 0.0000) [8 per cell]
La (0.1658, 0.0865, 0.0000) [8 per cell]
In (0.0000, 0.1245, 0.5000) [4 per cell]
In (0.0000, 0.3199, 0.5000) [4 per cell]
In (0.0000, 0.5000, 0.5000) [2 per cell]
In (0.2295, 0.5000, 0.5000) [4 per cell]
In (0.2338, 0.3172, 0.5000) [8 per cell]

(22)
A plane-wave DFT calculation with PBE was carried out for a geometry-optimized Y6InCu2 structure.

Output
As for the crystal system: orthorhombic. As for the formation energy: -0.248 eV per atom.

Lattice parameters (Å, degrees): 9.4432 9.9015 10.3131 90.00 90.00 90.00
Space group Immm (No. 71)
Symmetry-distinct sites (fractional):
Y (0.0000, 0.1971, 0.2382) [8 per cell]
Y (0.1939, 0.5000, 0.1772) [8 per cell]
Y (0.2164, 0.3154, 0.5000) [8 per cell]
In (0.0000, 0.0000, 0.0000) [2 per cell]
In (0.0000, 0.0000, 0.5000) [2 per cell]
Cu (0.0000, 0.3441, 0.0000) [4 per cell]
Cu (0.0000, 0.5000, 0.3814) [4 per cell]

(23)
A plane-wave DFT calculation with PBE was carried out for a geometry-optimized Li2MnCl structure.

Output
As for the crystal system: monoclinic. The energy above the most stable polymorph in this dataset is 58 meV/atom. The calculation puts the raw formation energy at -386 meV per atom.

Lattice parameters (Å, degrees): 3.0440 3.0240 7.4487 90.00 90.22 90.00
Space group P2/m (No. 10)
Symmetry-distinct sites (fractional):
Li (0.0016, 0.0000, 0.3000) [2 per cell]
Mn (0.5000, 0.5000, 0.0000) [1 per cell]
Cl (0.5000, 0.5000, 0.5000) [1 per cell]

Electronic total energy per entry: -9.8110; -4.5473; -4.6569; -2.6794; -5.7820; -4.2122; -5.0510; -4.9546; -10.3608; -4.1968; -2.4907; -4.2875; -7.4835; -5.4150; -3.9198; -3.6442; -6.6641; -5.3240; -4.7043; -3.9251; -3.9924; -5.7719; -4.0965 eV per atom